Below is a geometry-optimized ZnSb2Pb structure, with properties calculated at the GGA-PBE level.

Structure (CIF):
```
data_ZnSb2Pb
_symmetry_space_group_name_H-M 'P 1'
_symmetry_Int_Tables_number 1
_cell_length_a 3.244
_cell_length_b 3.244
_cell_length_c 10.000
_cell_angle_alpha 90.00
_cell_angle_beta 90.00
_cell_angle_gamma 90.00
loop_
_symmetry_equiv_pos_as_xyz
'x,y,z'
loop_
_atom_site_label
_atom_site_fract_x
_atom_site_fract_y
_atom_site_fract_z
Sb1 0.500 0.500 0.296
Zn1 0.000 0.000 0.493
Pb1 0.500 0.500 0.719
Sb2 0.000 0.000 0.992
```

**Formation energy from raw total energies**: 0.209 eV/atom
**Volume**: 26.312 A^3/atom


Below is a geometry-optimized Na2HgBiH structure, with properties calculated at the GGA-PBE level.

Structure (CIF):
```
data_Na2HgBiH
_symmetry_space_group_name_H-M 'P 1'
_symmetry_Int_Tables_number 1
_cell_length_a 4.490
_cell_length_b 4.490
_cell_length_c 5.476
_cell_angle_alpha 90.00
_cell_angle_beta 90.00
_cell_angle_gamma 90.00
loop_
_symmetry_equiv_pos_as_xyz
'x,y,z'
loop_
_atom_site_label
_atom_site_fract_x
_atom_site_fract_y
_atom_site_fract_z
Bi1 0.500 0.500 0.500
Na1 0.500 0.000 0.000
H1 0.000 0.000 0.000
Na2 0.000 0.500 0.000
Hg1 0.000 0.000 0.500
```

**Volume**: 22.082 A^3/atom
**ΔE to the lowest computed polymorph**: 0 meV per atom


Below is a geometry-optimized PmPr2Er7 structure, with properties calculated at the GGA-PBE level.

Structure (CIF):
```
data_PmPr2Er7
_symmetry_space_group_name_H-M 'P 1'
_symmetry_Int_Tables_number 1
_cell_length_a 3.514
_cell_length_b 14.793
_cell_length_c 14.793
_cell_angle_alpha 154.64
_cell_angle_beta 90.00
_cell_angle_gamma 90.00
loop_
_symmetry_equiv_pos_as_xyz
'x,y,z'
loop_
_atom_site_label
_atom_site_fract_x
_atom_site_fract_y
_atom_site_fract_z
Er1 0.500 0.148 0.345
Er2 0.500 0.852 0.655
Pr1 0.500 0.292 0.708
Er3 0.000 0.816 0.184
Pr2 0.500 0.708 0.292
Er4 0.500 0.345 0.148
Er5 0.500 0.655 0.852
Pm1 0.000 0.000 0.000
Er6 0.500 0.500 0.500
Er7 0.000 0.184 0.816
```

**Energy of formation**: 0.1632 eV/atom
**Volume**: 32.929 A^3/atom
**ΔE to the lowest computed polymorph**: 141 meV per atom


Below is a geometry-optimized Sr2LiZn structure, with properties calculated at the GGA-PBE level.

Structure (CIF):
```
data_Sr2LiZn
_symmetry_space_group_name_H-M 'P 1'
_symmetry_Int_Tables_number 1
_cell_length_a 9.866
_cell_length_b 9.866
_cell_length_c 9.866
_cell_angle_alpha 156.99
_cell_angle_beta 32.75
_cell_angle_gamma 157.01
loop_
_symmetry_equiv_pos_as_xyz
'x,y,z'
loop_
_atom_site_label
_atom_site_fract_x
_atom_site_fract_y
_atom_site_fract_z
Li1 0.000 0.000 0.000
Sr1 0.335 0.000 0.335
Zn1 0.500 0.000 0.500
Sr2 0.665 0.000 0.665
```

**Energy of formation**: 0.0715 eV/atom
**Volume**: 36.618 A^3/atom


Below is a geometry-optimized CaZrH2 structure, with properties calculated at the GGA-PBE level.

Structure (CIF):
```
data_CaZrH2
_symmetry_space_group_name_H-M 'P 1'
_symmetry_Int_Tables_number 1
_cell_length_a 4.285
_cell_length_b 4.285
_cell_length_c 4.285
_cell_angle_alpha 60.00
_cell_angle_beta 60.00
_cell_angle_gamma 60.00
loop_
_symmetry_equiv_pos_as_xyz
'x,y,z'
loop_
_atom_site_label
_atom_site_fract_x
_atom_site_fract_y
_atom_site_fract_z
Zr1 0.500 0.500 0.500
Ca1 0.000 0.000 0.000
H1 0.250 0.250 0.250
H2 0.750 0.750 0.750
```

**Volume**: 13.907 A^3/atom
**ΔE to the lowest computed polymorph**: 782 meV per atom


Below is a geometry-optimized Ac2LuPb structure, with properties calculated at the GGA-PBE level.

Structure (CIF):
```
data_Ac2LuPb
_symmetry_space_group_name_H-M 'P 1'
_symmetry_Int_Tables_number 1
_cell_length_a 5.895
_cell_length_b 5.895
_cell_length_c 5.895
_cell_angle_alpha 60.00
_cell_angle_beta 60.00
_cell_angle_gamma 60.00
loop_
_symmetry_equiv_pos_as_xyz
'x,y,z'
loop_
_atom_site_label
_atom_site_fract_x
_atom_site_fract_y
_atom_site_fract_z
Pb1 0.000 0.000 0.000
Ac1 0.750 0.750 0.750
Lu1 0.500 0.500 0.500
Ac2 0.250 0.250 0.250
```

**Energy of formation**: -0.0877 eV/atom
**Volume**: 36.210 A^3/atom
**ΔE to the lowest computed polymorph**: 109 meV per atom


Below is a geometry-optimized AcPr2Pt9 structure, with properties calculated at the GGA-PBE level.

Structure (CIF):
```
data_AcPr2Pt9
_symmetry_space_group_name_H-M 'P 1'
_symmetry_Int_Tables_number 1
_cell_length_a 5.534
_cell_length_b 5.534
_cell_length_c 9.507
_cell_angle_alpha 73.08
_cell_angle_beta 73.08
_cell_angle_gamma 60.00
loop_
_symmetry_equiv_pos_as_xyz
'x,y,z'
loop_
_atom_site_label
_atom_site_fract_x
_atom_site_fract_y
_atom_site_fract_z
Pt1 0.413 0.413 0.255
Pt2 0.081 0.587 0.745
Pt3 0.587 0.587 0.745
Pt4 0.919 0.413 0.255
Pt5 0.667 0.667 0.998
Pt6 0.500 0.500 0.500
Pt7 0.587 0.081 0.745
Pt8 0.413 0.919 0.255
Pr1 0.140 0.140 0.579
Pt9 0.333 0.333 0.002
Ac1 0.000 0.000 0.000
Pr2 0.860 0.860 0.421
```

**Energy of formation**: -0.9304 eV/atom
**Volume**: 19.787 A^3/atom


Below is a geometry-optimized HgSb2Te structure, with properties calculated at the GGA-PBE level.

Structure (CIF):
```
data_HgSb2Te
_symmetry_space_group_name_H-M 'P 1'
_symmetry_Int_Tables_number 1
_cell_length_a 4.441
_cell_length_b 4.441
_cell_length_c 6.046
_cell_angle_alpha 90.00
_cell_angle_beta 90.00
_cell_angle_gamma 90.00
loop_
_symmetry_equiv_pos_as_xyz
'x,y,z'
loop_
_atom_site_label
_atom_site_fract_x
_atom_site_fract_y
_atom_site_fract_z
Sb1 0.500 0.500 0.127
Te1 0.000 0.000 0.607
Hg1 0.500 0.500 0.636
Sb2 0.000 0.000 0.130
```

**Formation energy from raw total energies**: 0.034 eV/atom
**Volume**: 29.812 A^3/atom
**ΔE to the lowest computed polymorph**: 0 meV per atom


| no. | raw total energy (eV per atom) |
| --- | --- |
| 1 | -3.098 |
| 2 | -2.167 |
| 3 | -4.462 |
| 4 | -1.566 |
| 5 | -3.809 |
| 6 | -4.199 |
| 7 | -6.600 |
| 8 | -2.888 |